a.
80
Lattice="-7.137 7.137 7.137 7.137 -7.137 7.137 7.137 7.137 -7.137" Properties=species:S:1:pos:R:3 comment="Mn3Ag5F12 (GGA+U, optimized geometry)" m_tot_mub_per_fu=13.97 n_ef_per_ev_cell=25.72 density_g_cm3=4.258 volume_a3_per_fu=363 crystal_system=cubic pbc="T T T"
Mn 3.568 1.784 0.000
Mn 7.137 3.568 -1.784
Mn 1.784 0.000 3.568
Mn 8.921 0.000 3.568
Mn 0.000 3.568 1.784
Mn 3.568 -1.784 7.137
Mn 3.568 8.921 0.000
Mn 7.137 3.568 5.353
Mn -1.784 7.137 3.568
Mn 5.353 7.137 3.568
Mn 0.000 3.568 8.921
Mn 3.568 5.353 7.137
Ag 0.000 0.000 0.000
Ag 3.568 3.568 -3.568
Ag 3.568 -3.568 3.568
Ag 7.137 0.000 0.000
Ag 10.705 1.784 0.000
Ag 7.137 -3.568 5.353
Ag 5.353 7.137 -3.568
Ag 5.353 0.000 3.568
Ag 3.568 5.353 0.000
Ag 7.137 3.568 1.784
Ag -3.568 3.568 3.568
Ag 0.000 7.137 0.000
Ag 0.000 0.000 7.137
Ag 3.568 3.568 3.568
Ag 0.000 3.568 5.353
Ag 3.568 1.784 7.137
Ag 1.784 7.137 3.568
Ag 1.784 0.000 10.705
Ag 0.000 10.705 1.784
Ag -3.568 5.353 7.137
F 9.447 -0.216 0.288
F 8.395 -3.281 3.353
F 2.310 0.216 0.288
F 8.395 3.856 -3.353
F 7.352 -0.288 2.310
F 10.489 -1.258 3.281
F 3.856 3.353 -1.258
F 6.849 2.310 -0.216
F 0.288 2.310 0.216
F 10.418 3.784 -1.258
F 0.216 0.288 2.310
F 3.353 -1.258 3.856
F 7.352 6.849 -2.310
F 3.353 1.258 3.281
F 3.281 3.353 1.258
F 7.424 4.826 -0.216
F 3.856 -3.353 8.395
F 6.849 -2.310 7.352
F 3.353 8.395 -3.281
F 7.352 0.288 4.826
F 1.258 3.281 3.353
F 2.310 -0.216 6.849
F 2.310 7.352 -0.288
F 8.395 3.281 3.784
F -1.258 3.856 3.353
F 4.826 -0.216 7.424
F 4.826 7.352 0.288
F 5.879 3.856 3.784
F -0.216 6.849 2.310
F 3.784 -1.258 10.418
F 0.288 9.447 -0.216
F 3.281 10.489 -1.258
F -0.288 2.310 7.352
F 3.856 3.784 5.879
F 3.784 5.879 3.856
F -0.216 0.288 9.447
F 3.784 8.395 3.281
F 6.921 6.849 4.826
F -3.281 3.353 8.395
F 6.849 4.826 6.921
F 0.288 4.826 7.352
F 3.281 3.784 8.395
F -3.353 8.395 3.856
F -0.216 7.424 4.826
F -1.258 3.281 10.489
F 4.826 6.921 6.849
F -1.258 10.418 3.784
F -2.310 7.352 6.849



b.
20
Lattice="10.135 0.000 0.000 -5.068 8.777 0.000 0.000 0.000 3.308" Properties=species:S:1:pos:R:3 comment="Mn3Ag5F12 (GGA+U, optimized geometry)" m_tot_mub_per_fu=14.00 n_ef_per_ev_cell=8.73 density_g_cm3=5.259 volume_a3_per_fu=294 crystal_system=hexagonal pbc="T T T"
Mn -3.343 5.790 0.000
Mn 1.725 2.987 0.000
Mn 6.686 0.000 0.000
Ag -1.424 2.467 1.654
Ag 2.849 0.000 1.654
Ag 0.000 5.852 1.654
Ag 5.068 2.926 1.654
Ag 3.643 6.310 1.654
F -2.677 4.637 1.654
F -4.035 6.988 1.654
F 1.033 1.789 1.654
F -0.060 3.922 0.000
F -1.641 6.868 0.000
F 3.427 1.909 0.000
F 2.391 4.141 1.654
F 5.354 0.000 1.654
F 1.701 6.764 0.000
F 5.007 4.855 0.000
F 6.769 2.013 0.000
F 8.069 0.000 1.654



The data favor b; the next most stable structure lies 0.136 eV/atom above it.



a.
16
Lattice="6.471 0.000 0.000 0.000 6.471 0.000 0.000 0.000 6.471" Properties=species:S:1:pos:R:3 comment="MnAg2F (GGA+U, optimized geometry)" m_tot_mub_per_fu=4.66 n_ef_per_ev_cell=7.47 density_g_cm3=7.101 volume_a3_per_fu=68 crystal_system=cubic pbc="T T T"
Mn 0.000 0.000 0.000
Mn 0.000 3.235 3.235
Mn 3.235 0.000 3.235
Mn 3.235 3.235 0.000
Ag 1.618 1.618 1.618
Ag 1.618 1.618 4.853
Ag 1.618 4.853 1.618
Ag 1.618 4.853 4.853
Ag 4.853 1.618 1.618
Ag 4.853 1.618 4.853
Ag 4.853 4.853 1.618
Ag 4.853 4.853 4.853
F 0.000 0.000 3.235
F 0.000 3.235 0.000
F 3.235 0.000 0.000
F 3.235 3.235 3.235



b.
16
Lattice="7.362 0.000 0.000 0.000 7.362 0.000 0.000 0.000 5.206" Properties=species:S:1:pos:R:3 comment="MnAg2F (GGA+U, optimized geometry)" m_tot_mub_per_fu=4.83 n_ef_per_ev_cell=4.55 density_g_cm3=6.820 volume_a3_per_fu=71 crystal_system=tetragonal pbc="T T T"
Mn 0.000 0.000 0.000
Mn 0.000 3.681 1.301
Mn 3.681 0.000 3.904
Mn 3.681 3.681 2.603
Ag 1.537 5.521 3.254
Ag 1.840 1.537 1.952
Ag 1.840 2.144 4.555
Ag 2.144 5.521 0.651
Ag 5.218 1.840 0.651
Ag 5.521 5.218 4.555
Ag 5.521 5.824 1.952
Ag 5.824 1.840 3.254
F 0.000 0.000 2.603
F 0.000 3.681 3.904
F 3.681 0.000 1.301
F 3.681 3.681 0.000



The data favor b; the next most stable structure lies 0.194 eV/atom above it.



a.
14
Lattice="4.218 0.000 0.000 0.000 4.218 0.000 0.000 0.000 12.286" Properties=species:S:1:pos:R:3 comment="MnAg2F4 (GGA+U, optimized geometry)" m_tot_mub_per_fu=5.00 n_ef_per_ev_cell=0.68 density_g_cm3=5.268 volume_a3_per_fu=109 crystal_system=tetragonal pbc="T T T"
Mn 0.000 0.000 0.000
Mn 2.109 2.109 6.143
Ag 0.000 0.000 4.365
Ag 0.000 0.000 7.921
Ag 2.109 2.109 1.778
Ag 2.109 2.109 10.508
F 0.000 0.000 2.104
F 0.000 0.000 10.182
F 0.000 2.109 0.000
F 0.000 2.109 6.143
F 2.109 0.000 0.000
F 2.109 0.000 6.143
F 2.109 2.109 4.039
F 2.109 2.109 8.247



b.
28
Lattice="5.478 0.000 0.000 0.000 5.816 0.000 0.000 0.000 13.102" Properties=species:S:1:pos:R:3 comment="MnAg2F4 (GGA+U, optimized geometry)" m_tot_mub_per_fu=5.00 n_ef_per_ev_cell=0.01 density_g_cm3=5.516 volume_a3_per_fu=104 crystal_system=orthorhombic pbc="T T T"
Mn 0.000 0.000 0.000
Mn 0.000 2.908 6.551
Mn 2.739 0.000 6.551
Mn 2.739 2.908 0.000
Ag 0.369 0.456 4.026
Ag 0.369 2.452 10.577
Ag 2.370 3.365 4.026
Ag 2.370 5.360 10.577
Ag 3.108 0.456 2.525
Ag 3.108 2.452 9.075
Ag 5.110 3.365 2.525
Ag 5.110 5.360 9.075
F 0.837 3.294 8.480
F 0.837 5.431 1.929
F 1.142 4.161 12.346
F 1.142 4.563 5.796
F 1.597 1.253 12.346
F 1.597 1.655 5.796
F 1.903 0.385 8.480
F 1.903 2.523 1.929
F 3.576 3.294 11.172
F 3.576 5.431 4.621
F 3.881 4.161 7.306
F 3.881 4.563 0.755
F 4.336 1.253 7.306
F 4.336 1.655 0.755
F 4.642 0.385 11.172
F 4.642 2.523 4.621



The data favor b; the next most stable structure lies 0.045 eV/atom above it.



a.
5
Lattice="4.136 0.000 0.000 0.000 4.136 0.000 0.000 0.000 3.858" Properties=species:S:1:pos:R:3 comment="MnAgNF2 (GGA+U, optimized geometry)" m_tot_mub_per_fu=3.00 n_ef_per_ev_cell=1.31 density_g_cm3=5.407 volume_a3_per_fu=66 crystal_system=tetragonal pbc="T T T"
Mn 0.000 0.000 0.000
Ag 2.068 2.068 1.929
N 0.000 0.000 1.929
F 0.000 2.068 0.000
F 2.068 0.000 0.000



b.
5
Lattice="4.336 0.000 0.000 0.000 4.336 0.000 0.000 0.000 4.069" Properties=species:S:1:pos:R:3 comment="MnAgNF2 (GGA+U, optimized geometry)" m_tot_mub_per_fu=4.12 n_ef_per_ev_cell=2.29 density_g_cm3=4.663 volume_a3_per_fu=76 crystal_system=tetragonal pbc="T T T"
Mn 0.000 0.000 0.000
Ag 2.168 2.168 2.035
N 2.168 2.168 0.000
F 0.000 2.168 2.035
F 2.168 0.000 2.035



The data favor a; the next most stable structure lies 0.686 eV/atom above it.